Density functional theory data (PBE-GGA) for a relaxed structure of Tb2AlSe.

Cell: 7.9889 7.9889 7.9889 Å, 28.51 28.51 28.51°
With the nearest neighbours (Å) after each atom.
Positions (direct):
Tb  0.2456  0.2456  0.2456  3 Se 2.91, 3 Al 3.04
Tb  0.7544  0.7544  0.7544  3 Se 2.91, 3 Al 3.04
Al  0.0000  0.0000  0.0000  6 Tb 3.04
Se  0.5000  0.5000  0.5000  6 Tb 2.91

D(E_F) = 2.0 states/eV/cell
DFT total energy = -5.14 eV/atom
Spin magnetization = 0.0 μB/f.u.
Uncorrected formation energy = -1016 meV/atom

=====

Density functional theory data (PBE-GGA) for a relaxed structure of Tb2PmSm5.

Cell: 5.8342 11.3444 8.6437 Å, 90.00 106.51 90.00°
With the nearest neighbours (Å) after each atom.
Positions (direct):
Tb  0.1118  0.1171  0.0392  2 Tb 2.95-3.02, 1 Sm 3.17
Tb  0.1118  0.3829  0.0392  2 Tb 2.95-3.02, 1 Sm 3.17
Tb  0.8882  0.6171  0.9608  2 Tb 2.95-3.02, 1 Sm 3.17
Tb  0.8882  0.8829  0.9608  2 Tb 2.95-3.02, 1 Sm 3.17
Pm  0.4979  0.2500  0.8467  4 Tb 3.50-3.81, 7 Sm 3.56-3.81
Pm  0.5021  0.7500  0.1533  4 Tb 3.50-3.81, 7 Sm 3.56-3.81
Sm  0.1945  0.5793  0.3781  4 Sm 3.42-3.81, 2 Tb 3.57-3.60, 1 Pm 3.57
Sm  0.1945  0.9207  0.3781  4 Sm 3.42-3.81, 2 Tb 3.57-3.60, 1 Pm 3.57
Sm  0.2361  0.2500  0.4209  2 Tb 3.51, 1 Pm 3.56, 6 Sm 3.75-3.87
Sm  0.3373  0.5759  0.7900  2 Tb 3.17-3.39, 2 Sm 3.42-3.50
Sm  0.3373  0.9241  0.7900  2 Tb 3.17-3.39, 2 Sm 3.42-3.50
Sm  0.6627  0.0759  0.2100  2 Tb 3.17-3.39, 2 Sm 3.42-3.50
Sm  0.6627  0.4241  0.2100  2 Tb 3.17-3.39, 2 Sm 3.42-3.50
Sm  0.7639  0.7500  0.5791  2 Tb 3.51, 1 Pm 3.56, 6 Sm 3.75-3.87
Sm  0.8055  0.0793  0.6219  4 Sm 3.42-3.81, 2 Tb 3.57-3.60, 1 Pm 3.57
Sm  0.8055  0.4207  0.6219  4 Sm 3.42-3.81, 2 Tb 3.57-3.60, 1 Pm 3.57

ΔE_f = 0.167 eV per atom
D(E_F) = 25.0 states/eV/cell
DFT total energy = -4.53 eV/atom
Spin magnetization = 0.0 μB/f.u.

=====

Density functional theory data (PBE-GGA) for a relaxed structure of Ti2Co6Re.

Cell: 4.9174 4.9174 5.5071 Å, 93.18 93.18 59.36°
With the nearest neighbours (Å) after each atom.
Positions (direct):
Ti  0.1710  0.1710  0.1400  8 Co 2.62-2.85, 2 Re 2.92
Ti  0.8290  0.8290  0.8600  8 Co 2.62-2.85, 2 Re 2.92
Co  0.1524  0.6842  0.3219  4 Co 2.28-2.44, 1 Re 2.34
Co  0.3158  0.8476  0.6781  4 Co 2.28-2.44, 1 Re 2.34
Co  0.3168  0.3168  0.6530  4 Co 2.32-2.44, 1 Re 2.39
Co  0.6832  0.6832  0.3470  4 Co 2.32-2.44, 1 Re 2.39
Co  0.6842  0.1524  0.3219  4 Co 2.28-2.44, 1 Re 2.34
Co  0.8476  0.3158  0.6781  4 Co 2.28-2.44, 1 Re 2.34
Re  0.5000  0.5000  0.0000  6 Co 2.34-2.39

ΔE_f = -0.059 eV per atom
D(E_F) = 11.9 states/eV/cell
DFT total energy = -7.93 eV/atom
Spin magnetization = 2.5 μB/f.u.

=====

Density functional theory data (PBE-GGA) for a relaxed structure of Ba2Cd5Ag4.

Cell: 10.5840 9.7475 6.0073 Å, 80.62 65.32 34.06°
With the nearest neighbours (Å) after each atom.
Positions (direct):
Ba  0.1360  0.1360  0.8640  6 Ag 3.47-3.58, 4 Cd 3.67
Ba  0.8640  0.8640  0.1360  6 Ag 3.47-3.58, 4 Cd 3.67
Cd  0.0000  0.0000  0.5000  4 Cd 3.00-3.09, 4 Ag 3.03
Cd  0.2500  0.2500  0.2500  4 Ag 2.88, 2 Cd 3.09
Cd  0.5000  0.5000  0.0000  4 Cd 3.00-3.09, 4 Ag 3.03
Cd  0.5000  0.5000  0.5000  4 Ag 2.87, 4 Cd 3.00
Cd  0.7500  0.7500  0.7500  4 Ag 2.88, 2 Cd 3.09
Ag  0.2174  0.5227  0.4773  5 Cd 2.87-3.03, 1 Ag 3.15
Ag  0.4773  0.7826  0.2174  5 Cd 2.87-3.03, 1 Ag 3.15
Ag  0.5227  0.2174  0.7826  5 Cd 2.87-3.03, 1 Ag 3.15
Ag  0.7826  0.4773  0.5227  5 Cd 2.87-3.03, 1 Ag 3.15

ΔE_f = -0.224 eV per atom
D(E_F) = 4.8 states/eV/cell
DFT total energy = -2.03 eV/atom
Spin magnetization = 0.0 μB/f.u.

=====

Density functional theory data (PBE-GGA) for a relaxed structure of ReAg3I2Cl6.

Cell: 8.2918 8.2918 6.0507 Å, 95.68 95.68 56.23°
With the nearest neighbours (Å) after each atom.
Positions (direct):
Re  0.0000  0.0000  0.0000  6 Cl 2.34-2.35
Ag  0.0000  0.5000  0.0000  2 I 2.77, 4 Cl 2.92-3.03
Ag  0.5000  0.0000  0.0000  2 I 2.77, 4 Cl 2.92-3.03
Ag  0.5000  0.5000  0.5000  2 I 2.79, 4 Cl 3.07
I  0.3194  0.3194  0.2967  3 Ag 2.77-2.79
I  0.6806  0.6806  0.7033  3 Ag 2.77-2.79
Cl  0.1219  0.1219  0.7804  1 Re 2.34
Cl  0.1379  0.7102  0.7767  1 Re 2.35
Cl  0.2898  0.8621  0.2233  1 Re 2.35
Cl  0.7102  0.1379  0.7767  1 Re 2.35
Cl  0.8621  0.2898  0.2233  1 Re 2.35
Cl  0.8781  0.8781  0.2196  1 Re 2.34

D(E_F) = 5.8 states/eV/cell
DFT total energy = -3.37 eV/atom
Spin magnetization = 2.0 μB/f.u.
Uncorrected formation energy = -442 meV/atom

=====

Density functional theory data (PBE-GGA) for a relaxed structure of BaHg2Pb2Au.

Cell: 7.5656 7.5656 7.5656 Å, 134.31 134.31 66.61°
With the nearest neighbours (Å) after each atom.
Positions (direct):
Ba  0.0000  0.0000  0.0000  2 Hg 3.62
Hg  0.2862  0.2862  0.0000  1 Au 2.70, 4 Pb 2.97
Hg  0.7138  0.7138  0.0000  1 Au 2.70, 4 Pb 2.97
Pb  0.2500  0.7500  0.5000  4 Hg 2.97
Pb  0.7500  0.2500  0.5000  4 Hg 2.97
Au  0.5000  0.5000  0.0000  2 Hg 2.70

ΔE_f = -0.026 eV per atom
D(E_F) = 3.1 states/eV/cell
DFT total energy = -2.23 eV/atom
Spin magnetization = 0.0 μB/f.u.

=====

Density functional theory data (PBE-GGA) for a relaxed structure of Zr3TiTc4.

Cell: 3.2489 3.2489 12.9842 Å, 90.00 90.00 90.00°
With the nearest neighbours (Å) after each atom.
Positions (direct):
Zr  0.0000  0.0000  0.0000  8 Tc 2.84
Zr  0.0000  0.0000  0.2557  8 Tc 2.83-2.85
Zr  0.0000  0.0000  0.7443  8 Tc 2.83-2.85
Ti  0.0000  0.0000  0.5000  8 Tc 2.74
Tc  0.5000  0.5000  0.1284  8 Zr 2.83-2.84
Tc  0.5000  0.5000  0.3849  4 Ti 2.74, 4 Zr 2.85, 1 Tc 2.99
Tc  0.5000  0.5000  0.6151  4 Ti 2.74, 4 Zr 2.85, 1 Tc 2.99
Tc  0.5000  0.5000  0.8716  8 Zr 2.83-2.84

ΔE_f = -0.362 eV per atom
D(E_F) = 7.6 states/eV/cell
DFT total energy = -9.74 eV/atom
Spin magnetization = 0.0 μB/f.u.

=====

Density functional theory data (PBE-GGA) for a relaxed structure of LaNbCr.

Cell: 6.3291 6.3291 6.3291 Å, 149.66 149.66 43.43°
With the nearest neighbours (Å) after each atom.
Positions (direct):
La  0.0000  0.0000  0.0000  5 Cr 3.27-3.60, 4 La 3.31, 5 Nb 3.39-3.41
Nb  0.7113  0.7113  0.0000  4 Cr 2.59
Cr  0.3059  0.3059  0.0000  4 Nb 2.59

ΔE_f = 0.439 eV per atom
D(E_F) = 4.4 states/eV/cell
DFT total energy = -7.77 eV/atom
Spin magnetization = 1.1 μB/f.u.

=====

What is the formula in the fourth record? Ba2Cd5Ag4

=====

What did the sixth record say?
Density functional theory data (PBE-GGA) for a relaxed structure of BaHg2Pb2Au.

Cell: 7.5656 7.5656 7.5656 Å, 134.31 134.31 66.61°
With the nearest neighbours (Å) after each atom.
Positions (direct):
Ba  0.0000  0.0000  0.0000  2 Hg 3.62
Hg  0.2862  0.2862  0.0000  1 Au 2.70, 4 Pb 2.97
Hg  0.7138  0.7138  0.0000  1 Au 2.70, 4 Pb 2.97
Pb  0.2500  0.7500  0.5000  4 Hg 2.97
Pb  0.7500  0.2500  0.5000  4 Hg 2.97
Au  0.5000  0.5000  0.0000  2 Hg 2.70

ΔE_f = -0.026 eV per atom
D(E_F) = 3.1 states/eV/cell
DFT total energy = -2.23 eV/atom
Spin magnetization = 0.0 μB/f.u.

=====

Look up the spin magnetization of the seventh one. 0.0 μB/f.u.